No. 1
This record from Alexandria via LeMat-Bulk describes a relaxed structure of Mg3Tc. The functional is PBE.

Lattice parameters (Å, degrees): 2.989 2.989 9.722 90.00 90.00 120.00
Site moments in Bohr magnetons follow the coordinates.
Fractional positions:
1 Mg 0.000 0.000 0.977  0.00
2 Mg 0.000 0.000 0.523  0.00
3 Mg 0.667 0.333 0.250  0.00
4 Tc 0.667 0.333 0.750  0.65

spin magnetization: 0.70 μB per formula unit
volume: 18.8 Å³/atom
energy of formation: 218 meV/atom

---

No. 2
This record from Alexandria via LeMat-Bulk describes a relaxed structure of KCrS2. The functional is PBE.

Lattice parameters (Å, degrees): 6.593 6.593 6.642 60.24 60.24 90.00
Fractional positions:
1 Cr 0.000 0.000 0.000
2 Cr 0.750 0.250 0.500
3 K 0.500 0.500 0.000
4 K 0.250 0.750 0.500
5 S 0.758 0.125 0.250
6 S 0.992 0.625 0.250
7 S 0.375 0.242 0.750
8 S 0.875 0.008 0.750

spin magnetization: 0.00 μB per formula unit
volume: 25.7 Å³/atom
uncorrected formation energy: -0.703 eV per atom

---

No. 3
This record from Alexandria via LeMat-Bulk describes a relaxed structure of LiEu2Lu. The functional is PBE.

Lattice parameters (Å, degrees): 3.758 3.758 9.466 90.00 90.00 90.00
Site moments in Bohr magnetons follow the coordinates.
Fractional positions:
1 Eu 0.000 0.000 0.768  6.98
2 Eu 0.000 0.000 0.232  6.98
3 Lu 0.500 0.500 0.500  0.44
4 Li 0.500 0.500 0.000  0.02

spin magnetization: 15.69 μB per formula unit
volume: 33.4 Å³/atom
offset from the most stable computed form: 0.0 meV/atom
energy of formation: 113 meV/atom

---

Total energy in eV/atom, matching the order above: -3.5691, -5.4470, -6.6330